1.
# CsNaCa2Pt GGA-PBE relaxed
data_CsNaCa2Pt
_cell_length_a 5.6536
_cell_length_b 5.6536
_cell_length_c 6.8427
_cell_angle_alpha 90.00
_cell_angle_beta 90.00
_cell_angle_gamma 90.00
_symmetry_space_group_name_H-M 'P 4/m m m'
_symmetry_Int_Tables_number 123
_symmetry_space_group_name_Hall '-P 4 2'
loop_
_atom_site_label
_atom_site_type_symbol
_atom_site_fract_x
_atom_site_fract_y
_atom_site_fract_z
Cs1 Cs 0.0000 0.0000 0.0000
Na1 Na 0.5000 0.5000 0.0000
Ca1 Ca 0.0000 0.5000 0.5000
Pt1 Pt 0.0000 0.0000 0.5000
# **Crystal system**: tetragonal
# **Energy**: -2.650 eV/atom
# **Excess energy over the best structure of this formula in the dataset**: 0.16 eV per formula unit
# **Energy of formation**: -0.2065 eV per atom

***

2.
# Ag2RuCl GGA-PBE relaxed
data_Ag2RuCl
_cell_length_a 3.0030
_cell_length_b 3.0030
_cell_length_c 26.5793
_cell_angle_alpha 90.00
_cell_angle_beta 90.00
_cell_angle_gamma 120.00
_symmetry_space_group_name_H-M 'R -3 m'
_symmetry_Int_Tables_number 166
_symmetry_space_group_name_Hall '-R 3 2"'
loop_
_atom_site_label
_atom_site_type_symbol
_atom_site_fract_x
_atom_site_fract_y
_atom_site_fract_z
Ag1 Ag 0.0000 0.0000 0.2491
Ru1 Ru 0.0000 0.0000 0.0000
Cl1 Cl 0.0000 0.0000 0.5000
# **Crystal system**: trigonal
# **Energy**: -3.816 eV/atom
# **Excess energy over the best structure of this formula in the dataset**: 0.30 eV per formula unit
# **Formation energy (no corrections)**: 0.39 eV per atom

***

3.
# Pr12TmAl3 GGA-PBE relaxed
data_Pr12TmAl3
_cell_length_a 4.9751
_cell_length_b 4.9751
_cell_length_c 20.1914
_cell_angle_alpha 90.00
_cell_angle_beta 90.00
_cell_angle_gamma 90.00
_symmetry_space_group_name_H-M 'P 4/m m m'
_symmetry_Int_Tables_number 123
_symmetry_space_group_name_Hall '-P 4 2'
loop_
_atom_site_label
_atom_site_type_symbol
_atom_site_fract_x
_atom_site_fract_y
_atom_site_fract_z
Pr1 Pr 0.0000 0.0000 0.0000
Pr2 Pr 0.0000 0.0000 0.2441
Pr3 Pr 0.0000 0.0000 0.5000
Pr4 Pr 0.0000 0.5000 0.1224
Pr5 Pr 0.0000 0.5000 0.3667
Tm1 Tm 0.5000 0.5000 0.5000
Al1 Al 0.5000 0.5000 0.0000
Al2 Al 0.5000 0.5000 0.2437
# **Crystal system**: tetragonal
# **Energy**: -4.675 eV/atom
# **Energy of formation**: -0.1094 eV per atom

***

4.
# Sm2B2Ru3 GGA-PBE relaxed
data_Sm2B2Ru3
_cell_length_a 10.2152
_cell_length_b 4.1193
_cell_length_c 6.0682
_cell_angle_alpha 90.00
_cell_angle_beta 110.18
_cell_angle_gamma 90.00
_symmetry_space_group_name_H-M 'C 1 2/m 1'
_symmetry_Int_Tables_number 12
loop_
_symmetry_equiv_pos_as_xyz
'x,y,z'
'-x,-y,-z'
'-x,y,-z'
'x,-y,z'
'x+1/2,y+1/2,z'
'-x+1/2,-y+1/2,-z'
'-x+1/2,y+1/2,-z'
'x+1/2,-y+1/2,z'
loop_
_atom_site_label
_atom_site_type_symbol
_atom_site_fract_x
_atom_site_fract_y
_atom_site_fract_z
Sm1 Sm 0.1219 0.0000 0.2973
B1 B 0.1401 0.5000 0.8542
Ru1 Ru 0.0000 0.5000 0.5000
Ru2 Ru 0.1826 0.0000 0.8374
# **Crystal system**: monoclinic
# **Energy**: -7.607 eV/atom
# **Energy of formation**: -0.3757 eV per atom

***

5.
# SiSeN2Cl GGA-PBE relaxed
data_SiSeN2Cl
_cell_length_a 4.0286
_cell_length_b 4.0286
_cell_length_c 4.9959
_cell_angle_alpha 90.00
_cell_angle_beta 90.00
_cell_angle_gamma 90.00
_symmetry_space_group_name_H-M 'P 4/m m m'
_symmetry_Int_Tables_number 123
_symmetry_space_group_name_Hall '-P 4 2'
loop_
_atom_site_label
_atom_site_type_symbol
_atom_site_fract_x
_atom_site_fract_y
_atom_site_fract_z
Si1 Si 0.0000 0.0000 0.0000
Se1 Se 0.5000 0.5000 0.0000
N1 N 0.0000 0.5000 0.5000
Cl1 Cl 0.5000 0.5000 0.5000
# **Crystal system**: tetragonal
# **Energy**: -3.236 eV/atom
# **Excess energy over the best structure of this formula in the dataset**: 7.90 eV per formula unit
# **Formation energy (no corrections)**: 2.24 eV per atom

***

6.
# CdTcBr2 GGA-PBE relaxed
data_CdTcBr2
_cell_length_a 6.9777
_cell_length_b 9.0232
_cell_length_c 3.5897
_cell_angle_alpha 90.00
_cell_angle_beta 120.92
_cell_angle_gamma 90.00
_symmetry_space_group_name_H-M 'C 1 2/m 1'
_symmetry_Int_Tables_number 12
loop_
_symmetry_equiv_pos_as_xyz
'x,y,z'
'-x,-y,-z'
'-x,y,-z'
'x,-y,z'
'x+1/2,y+1/2,z'
'-x+1/2,-y+1/2,-z'
'-x+1/2,y+1/2,-z'
'x+1/2,-y+1/2,z'
loop_
_atom_site_label
_atom_site_type_symbol
_atom_site_fract_x
_atom_site_fract_y
_atom_site_fract_z
Cd1 Cd 0.0000 0.0000 0.0000
Tc1 Tc 0.0000 0.5000 0.0000
Br1 Br 0.2500 0.2500 0.0000
# **Crystal system**: monoclinic
# **Energy**: -3.081 eV/atom
# **Excess energy over the best structure of this formula in the dataset**: 2.19 eV per formula unit
# **Formation energy (no corrections)**: 0.58 eV per atom

***

- energy of number 5 (SiSeN2Cl)?
  -3.236 eV/atom

***

- What is the energy in the first record?
  -2.650 eV/atom

***

- What is the energy in the second record?
  -3.816 eV/atom

***

- Which value of energy does entry 4 give?
  -7.607 eV/atom